(1)
Ru5Rh3 after structural relaxation. Source: Alexandria via LeMat-Bulk, functional PBE-GGA.

```
Ru5Rh3
1.0
-3.012 7.070 0.006
-2.233 -5.124 -5.276
-3.389 -1.446 2.839
Ru Rh
10 6
Cartesian
-5.372 -4.807 -3.146
-4.447 2.282 -0.335
-5.496 0.184 -4.562
-2.752 3.006 -1.755
-6.748 0.476 -2.098
-2.638 -4.470 -3.522
-4.187 -1.782 -2.096
-2.493 -1.059 -3.516
-5.996 4.971 1.090
-1.886 0.024 -0.334
-6.902 2.890 -1.052
-4.016 0.814 -2.474
-4.273 -2.685 -4.564
-4.361 3.186 2.133
-1.732 -2.390 -1.380
-4.618 -0.314 0.042
```

Calculated values
* N(E_F): 24.26 states/eV/cell
* symmetry: P6_3/mcm (193)
* energy of formation from the pure elements: 0.419 eV/atom
* polymorph energy (0 for the lowest one): 9.528 kcal/mol of atoms



(2)
Ru2Rh after structural relaxation. Source: Alexandria via LeMat-Bulk, functional PBE-GGA.

```
Ru2Rh
1.0
-3.253 -4.511 2.339
4.896 1.184 -3.321
2.129 0.113 3.178
Rh Ru
2 4
Cartesian
-2.038 -4.006 2.659
5.810 0.791 -0.464
3.122 -1.087 1.403
0.649 -2.128 0.792
0.374 -3.008 3.312
3.398 -0.207 -1.117
```

Calculated values
* N(E_F): 6.59 states/eV/cell
* symmetry: Cmcm (63)
* energy of formation from the pure elements: 0.065 eV/atom
* polymorph energy (0 for the lowest one): 1.637 kcal/mol of atoms



(3)
RuRh3 after structural relaxation. Source: Alexandria via LeMat-Bulk, functional PBE-GGA.

```
RuRh3
1.0
-0.009 3.016 4.542
-3.299 -4.322 -0.410
3.136 -2.555 1.703
Rh Ru
6 2
Cartesian
-0.399 -3.509 3.953
1.243 -2.861 1.902
-0.394 -5.006 1.699
0.227 -0.352 1.882
0.222 1.145 4.136
-1.415 -1.000 3.933
-1.418 -2.515 1.667
1.246 -1.346 4.169
```

Calculated values
* N(E_F): 13.01 states/eV/cell
* symmetry: P6_3/mmc (194)
* energy of formation from the pure elements: 0.048 eV/atom



(4)
RuRh2 after structural relaxation. Source: Alexandria via LeMat-Bulk, functional PBE-GGA.

```
RuRh2
1.0
7.205 0.011 0.000
-6.688 2.680 0.000
0.000 0.000 4.365
Rh Ru
4 2
Cartesian
-2.081 1.795 0.000
1.001 1.203 2.183
-6.658 2.674 0.000
-3.577 2.082 2.183
5.670 0.306 2.183
2.565 0.902 0.000
```

Calculated values
* N(E_F): 9.22 states/eV/cell
* symmetry: Cmcm (63)
* energy of formation from the pure elements: 0.041 eV/atom
* polymorph energy (0 for the lowest one): 0.684 kcal/mol of atoms



(5)
RuRh3 after structural relaxation. Source: Alexandria via LeMat-Bulk, functional PBE-GGA.

```
RuRh3
1.0
2.711 0.000 0.000
0.000 3.845 0.000
0.000 0.000 5.410
Ru Rh
1 3
Cartesian
1.355 1.923 1.352
1.355 1.923 4.057
0.000 0.000 2.682
0.000 0.000 0.022
```

Calculated values
* N(E_F): 4.75 states/eV/cell
* symmetry: Pmmm (47)
* energy of formation from the pure elements: 0.023 eV/atom



(6)
Ru2Rh3 after structural relaxation. Source: Alexandria via LeMat-Bulk, functional PBE-GGA.

```
Ru2Rh3
1.0
-6.014 2.613 -3.063
-4.444 0.519 -5.689
-6.485 -1.064 -3.030
Rh Ru
3 2
Cartesian
-13.416 1.638 -9.329
-3.527 0.430 -2.452
0.000 0.000 0.000
-10.130 1.237 -7.044
-6.813 0.832 -4.737
```

Calculated values
* N(E_F): 8.81 states/eV/cell
* symmetry: R-3m (166)
* energy of formation from the pure elements: 0.935 eV/atom
* polymorph energy (0 for the lowest one): 20.769 kcal/mol of atoms



(7)
Ru7Rh after structural relaxation. Source: Alexandria via LeMat-Bulk, functional PBE-GGA.

```
Ru7Rh
1.0
-2.807 3.194 -3.344
-5.054 1.460 1.261
-1.067 5.114 1.405
Ru Rh
7 1
Cartesian
-1.404 1.597 -1.672
-1.937 4.154 -0.970
-0.534 2.557 0.702
-3.061 3.287 1.333
-3.931 2.327 -1.041
-4.464 4.884 -0.339
-2.527 0.730 0.631
0.000 0.000 0.000
```

Calculated values
* N(E_F): 14.72 states/eV/cell
* symmetry: Fm-3m (225)
* energy of formation from the pure elements: 0.119 eV/atom



(8)
Ru6Rh7 after structural relaxation. Source: Alexandria via LeMat-Bulk, functional PBE-GGA.

```
Ru6Rh7
1.0
-6.153 6.621 1.788
-7.439 2.736 4.700
-3.723 5.808 6.108
Ru Rh
6 7
Cartesian
-5.784 5.065 4.207
-14.696 12.871 10.691
-2.619 2.294 1.905
-16.539 14.485 12.031
-11.532 10.100 8.389
-0.776 0.680 0.565
-10.241 9.591 6.095
-7.074 5.574 6.501
-8.658 7.583 6.298
-8.299 5.984 4.323
-9.016 9.181 8.272
-6.426 7.533 5.033
-10.889 7.632 7.563
```

Calculated values
* N(E_F): 20.97 states/eV/cell
* symmetry: R-3m (166)
* energy of formation from the pure elements: 0.426 eV/atom



(9)
Ru2Rh3 after structural relaxation. Source: Alexandria via LeMat-Bulk, functional PBE-GGA.

```
Ru2Rh3
1.0
3.826 0.000 0.000
0.000 6.048 0.223
0.000 -0.233 6.069
Rh Ru
6 4
Cartesian
0.956 0.215 2.106
2.869 3.123 5.252
2.869 4.477 1.685
2.869 5.600 4.186
0.956 1.337 4.608
0.956 2.692 1.040
2.869 0.873 0.352
2.869 2.035 2.794
0.956 3.780 3.498
0.956 4.942 5.940
```

Calculated values
* N(E_F): 12.09 states/eV/cell
* symmetry: C2/m (12)
* energy of formation from the pure elements: 0.035 eV/atom
* polymorph energy (0 for the lowest one): 0.000 kcal/mol of atoms



(10)
Ru2Rh after structural relaxation. Source: Alexandria via LeMat-Bulk, functional PBE-GGA.

```
Ru2Rh
1.0
5.404 0.000 0.000
0.000 3.829 0.000
0.000 0.000 8.132
Ru Rh
8 4
Cartesian
3.343 0.957 7.466
2.032 2.872 6.145
2.061 2.872 0.666
0.641 0.957 4.732
4.734 2.872 6.053
0.670 0.957 2.079
4.763 2.872 3.400
3.372 0.957 1.987
3.381 0.957 4.771
0.678 0.957 7.427
2.024 2.872 3.361
4.726 2.872 0.705
```

Calculated values
* N(E_F): 14.27 states/eV/cell
* symmetry: Pnma (62)
* energy of formation from the pure elements: 0.061 eV/atom
* polymorph energy (0 for the lowest one): 1.533 kcal/mol of atoms



(11)
Ru2Rh3 after structural relaxation. Source: Alexandria via LeMat-Bulk, functional PBE-GGA.

```
Ru2Rh3
1.0
2.706 0.000 0.000
0.000 7.665 0.000
0.000 0.000 13.557
Ru Rh
8 12
Cartesian
2.029 4.787 12.848
2.029 0.954 7.487
0.676 2.851 8.787
2.029 0.982 2.009
2.029 4.814 4.770
0.676 6.711 6.070
0.676 6.683 11.548
0.676 2.878 0.709
0.676 6.714 8.798
0.676 2.882 11.537
2.029 0.951 4.759
2.029 0.955 12.887
2.029 0.953 10.145
0.676 6.712 3.412
2.029 4.788 7.449
0.676 6.710 0.670
0.676 2.877 6.108
2.029 4.785 10.190
0.676 2.880 3.367
2.029 4.784 2.020
```

Calculated values
* N(E_F): 19.08 states/eV/cell
* symmetry: Pnma (62)
* energy of formation from the pure elements: 0.035 eV/atom
* polymorph energy (0 for the lowest one): 0.006 kcal/mol of atoms



(12)
Ru2Rh after structural relaxation. Source: Alexandria via LeMat-Bulk, functional PBE-GGA.

```
Ru2Rh
1.0
-3.464 2.578 -2.564
1.802 -4.309 -1.848
-5.940 -4.140 3.862
Rh Ru
4 8
Cartesian
-2.432 -3.740 -0.475
-0.445 -2.355 -1.767
-5.170 -2.130 -0.075
-7.158 -3.515 1.217
0.000 0.000 0.000
-5.234 -4.981 -0.314
-2.970 -2.070 1.931
-3.171 -1.725 -2.368
-4.431 -4.145 1.818
-3.561 -6.227 0.925
-2.368 -0.889 -0.237
-4.042 0.357 -1.475
```

Calculated values
* N(E_F): 15.85 states/eV/cell
* symmetry: P6_3/mmc (194)
* energy of formation from the pure elements: 0.435 eV/atom
* polymorph energy (0 for the lowest one): 10.162 kcal/mol of atoms



(13)
RuRh3 after structural relaxation. Source: Alexandria via LeMat-Bulk, functional PBE-GGA.

```
RuRh3
1.0
-4.928 -0.320 1.491
-2.871 -3.553 -2.395
3.987 1.152 3.064
Ru Rh
1 3
Cartesian
-0.627 0.555 3.037
0.403 -1.064 1.083
-1.967 -0.976 -0.223
-5.834 -2.896 -0.671
```

Calculated values
* N(E_F): 5.83 states/eV/cell
* symmetry: Imm2 (44)
* energy of formation from the pure elements: 0.043 eV/atom



(14)
Ru7Rh6 after structural relaxation. Source: Alexandria via LeMat-Bulk, functional PBE-GGA.

```
Ru7Rh6
1.0
9.226 -0.002 -0.001
7.854 4.842 -0.001
7.854 2.226 4.300
Rh Ru
6 7
Cartesian
8.416 2.385 1.451
23.737 6.726 4.091
1.197 0.339 0.206
21.140 5.990 3.644
3.794 1.075 0.654
16.518 4.681 2.847
14.215 4.028 3.947
10.719 3.038 0.351
10.022 4.169 2.536
10.719 1.709 2.536
14.215 5.357 1.762
12.467 3.533 2.149
14.912 2.897 1.762
```

Calculated values
* N(E_F): 21.70 states/eV/cell
* symmetry: R-3m (166)
* energy of formation from the pure elements: 0.352 eV/atom



(15)
Ru4Rh after structural relaxation. Source: Alexandria via LeMat-Bulk, functional PBE-GGA.

```
Ru4Rh
1.0
6.053 0.000 0.000
0.000 6.053 0.000
3.027 3.027 1.909
Ru Rh
4 1
Cartesian
3.606 1.196 0.000
1.196 2.447 0.000
4.857 3.606 0.000
2.447 4.857 0.000
0.000 0.000 0.000
```

Calculated values
* N(E_F): 5.30 states/eV/cell
* symmetry: I4/m (87)
* energy of formation from the pure elements: 0.081 eV/atom
* polymorph energy (0 for the lowest one): 0.000 kcal/mol of atoms



(16)
Ru2Rh after structural relaxation. Source: Alexandria via LeMat-Bulk, functional PBE-GGA.

```
Ru2Rh
1.0
-3.181 0.793 5.094
-3.977 -2.681 3.701
5.022 0.206 -3.382
Ru Rh
2 1
Cartesian
-1.217 -0.321 1.496
-5.940 -1.567 7.299
-3.579 -0.944 4.398
```

Calculated values
* N(E_F): 3.91 states/eV/cell
* symmetry: I4/mmm (139)
* energy of formation from the pure elements: 0.059 eV/atom
* polymorph energy (0 for the lowest one): 1.489 kcal/mol of atoms



(17)
RuRh2 after structural relaxation. Source: Alexandria via LeMat-Bulk, functional PBE-GGA.

```
RuRh2
1.0
-1.252 6.076 4.021
-4.064 -1.346 -6.027
-1.787 -1.368 1.510
Rh Ru
6 3
Cartesian
-3.471 -1.538 -3.067
-0.374 1.813 1.200
-1.213 -0.402 -1.799
-1.687 3.170 3.306
-3.730 3.319 -1.407
-2.838 1.046 0.021
-0.893 -0.684 0.755
-2.189 3.602 0.672
-3.127 1.128 -2.678
```

Calculated values
* N(E_F): 9.90 states/eV/cell
* symmetry: P-62m (189)
* energy of formation from the pure elements: 0.098 eV/atom
* polymorph energy (0 for the lowest one): 2.005 kcal/mol of atoms



(18)
Ru2Rh after structural relaxation. Source: Alexandria via LeMat-Bulk, functional PBE-GGA.

```
Ru2Rh
1.0
-0.311 -3.346 3.863
1.351 -4.501 2.034
4.014 9.341 -2.248
Rh Ru
2 4
Cartesian
3.020 5.877 -0.966
2.027 -2.121 3.180
4.011 9.316 -2.235
1.036 -5.560 4.449
3.034 3.638 0.461
2.013 0.119 1.753
```

Calculated values
* N(E_F): 5.07 states/eV/cell
* symmetry: C2/m (12)
* energy of formation from the pure elements: 0.002 eV/atom
* polymorph energy (0 for the lowest one): 0.188 kcal/mol of atoms



(19)
Ru2Rh after structural relaxation. Source: Alexandria via LeMat-Bulk, functional PBE-GGA.

```
Ru2Rh
1.0
5.121 0.001 0.000
4.395 2.628 0.000
-8.037 -2.221 6.232
Ru Rh
4 2
Cartesian
1.090 0.301 2.418
3.663 1.012 2.082
6.972 1.927 0.356
-4.750 -1.313 4.493
-0.008 -0.002 0.018
-2.178 -0.602 4.134
```

Calculated values
* N(E_F): 5.25 states/eV/cell
* symmetry: Cm (8)
* energy of formation from the pure elements: 0.010 eV/atom
* polymorph energy (0 for the lowest one): 0.371 kcal/mol of atoms



(20)
Ru2Rh after structural relaxation. Source: Alexandria via LeMat-Bulk, functional PBE-GGA.

```
Ru2Rh
1.0
0.990 1.924 4.539
-2.453 -1.706 4.044
2.424 -2.766 3.429
Ru Rh
4 2
Cartesian
0.120 -0.318 1.502
-1.107 -1.171 3.524
1.332 -1.701 3.216
0.615 0.644 3.771
0.721 -1.911 9.009
0.480 -1.274 6.006
```

Calculated values
* N(E_F): 12.89 states/eV/cell
* symmetry: Fd-3m (227)
* energy of formation from the pure elements: 0.572 eV/atom
* polymorph energy (0 for the lowest one): 13.327 kcal/mol of atoms



The final energy results, record by record, are as follows: -8.135, -8.569, -7.784, -7.952, -7.810, -7.186, -8.916, -7.813, -8.086, -8.574, -8.086, -8.199, -7.790, -8.035, -8.810, -8.576, -7.895, -8.632, -8.624, -8.062 eV per atom.